Here is a relaxed Ac2BeP2N6 crystal from Alexandria. Energies are from GGA-PBE. Values from VASP.

```
&SYSTEM
  ibrav = 0, nat = 11, ntyp = 4
/
ATOMIC_SPECIES
Ac 227.00 Ac.upf
Be 9.01 Be.upf
P 30.97 P.upf
N 14.01 N.upf
ATOMIC_POSITIONS crystal
Ac 0.222 0.222 0.222
Ac 0.778 0.778 0.778
Be 0.000 0.000 0.000
P 0.414 0.414 0.414
P 0.586 0.586 0.586
N 0.247 0.247 0.744
N 0.247 0.744 0.247
N 0.256 0.753 0.753
N 0.744 0.247 0.247
N 0.753 0.256 0.753
N 0.753 0.753 0.256
CELL_PARAMETERS angstrom
2.764 1.596 5.390
-2.764 1.596 5.390
0.000 -3.191 5.390
```

Space group: No. 166
Formation energy from raw total energies, eV/f.u.: -7.92
Magnetization, μB per cell: 0.00